[1]
Below is a relaxed structure of MgZrCdGe2, with properties calculated at the GGA-PBE level.

Cell: 5.1717 5.1717 5.6008 Å, 90.00 90.00 90.00°
Fractional coordinates of all 5 atoms:
Mg (0.0000, 0.0000, 0.0000)
Zr (0.5000, 0.5000, 0.5000)
Cd (0.5000, 0.5000, 0.0000)
Ge (0.0000, 0.5000, 0.5000)
Ge (0.5000, 0.0000, 0.5000)

Properties
VASP energy ... -17.778 eV/f.u.
Space-group type ... P4/mmm (123)


[2]
Below is a relaxed structure of BaSr3Zn, with properties calculated at the GGA-PBE level.

Cell: 4.4562 13.8279 13.8279 Å, 143.69 90.00 90.00°
Fractional coordinates of all 10 atoms:
Ba (0.2500, 0.0693, 0.9307)
Ba (0.7500, 0.9307, 0.0693)
Sr (0.2500, 0.0964, 0.4409)
Sr (0.2500, 0.5681, 0.9538)
Sr (0.2500, 0.5906, 0.4552)
Sr (0.7500, 0.4409, 0.0964)
Sr (0.7500, 0.4552, 0.5906)
Sr (0.7500, 0.9538, 0.5681)
Zn (0.2500, 0.2406, 0.2963)
Zn (0.7500, 0.2963, 0.2406)

Properties
Energy above the lowest structure with this stoichiometry ... 0.034 eV per atom
Space-group type ... Ama2 (40)


The records above give, respectively, mass density values of 4.14; 3.06 Mg/m³.
The records above give, respectively, Fermi-level density of states values of 0.9982; 1.2917 states/eV/atom.